Material: AcCoSe2O8
Method: DFT, PBE with a Hubbard U
State: optimized geometry

Lattice parameters (Å, degrees): 5.045 5.045 7.341 69.90 69.90 60.00
Atoms (fractional coordinates):
O  0.081  0.347  0.829
O  0.258  0.919  0.171
Ac  0.500  0.500  0.500
O  0.653  0.258  0.171
O  0.742  0.081  0.829
Co  0.000  0.000  0.000
Se  0.274  0.274  0.178
O  0.919  0.653  0.171
O  0.811  0.811  0.567
O  0.347  0.742  0.829
O  0.189  0.189  0.433
Se  0.726  0.726  0.822

VASP energy   -5.81 eV per atom
Size of the total moment   2.020 μB/cell
DOS at the Fermi energy   0.10 states/eV per atom